Crystalline HfMnSn at its relaxed geometry. Source: Alexandria via LeMat-Bulk, functional PBE.

Unit cell a=3.138 b=4.604 c=4.604 alpha=120.00 beta=90.00 gamma=90.00
Each line ends with the local moment (μB).
Atoms (fractional coordinates):
Hf1 0.000 0.000 0.000  -0.17
Mn1 0.501 0.333 0.667  3.09
Sn1 0.499 0.667 0.333  0.03

Calculated values
Space-group type: P-6m2 (187)
Calculated volume: 19.20 Å³/atom
Density of states at the Fermi level: 3.56 states/eV per cell
E_form: -34 meV/atom